Below is a relaxed structure of Sc2InTcC, with properties calculated at the GGA-PBE level.

a = 4.5941 Å, b = 4.5941 Å, c = 4.0191 Å
α = 90.00°, β = 90.00°, γ = 90.00°
Closest atoms and distances in Å follow each position.
Positions (direct):
C  0.0000  0.0000  0.0000  2 Tc 2.01
In  0.5000  0.5000  0.5000  8 Sc 3.05, 4 Tc 3.25
Sc  0.5000  0.0000  0.0000  2 C 2.30
Sc  0.0000  0.5000  0.0000  2 C 2.30
Tc  0.0000  0.0000  0.5000  2 C 2.01

Final energy (eV per atom): -7.49